[1]
First-principles (PBE) data for LiNd4Hg2 after structural relaxation, as listed in Alexandria.

Computed properties:
symmetry	No. 166
distance to the lowest polymorph of the same formula	0	meV/atom
energy of formation from the pure elements	-0.1772	eV per atom

POSCAR file:
```
LiNd4Hg2
1.0
5.1021 0.0000 1.5940
2.3020 4.5532 1.5940
-0.0258 -0.0159 9.0449
Li Nd Hg
1 4 2
Direct
0.0000 0.0000 0.0000 Li
0.8678 0.8678 0.3967 Nd
0.1322 0.1322 0.6033 Nd
0.6149 0.6149 0.1554 Nd
0.3851 0.3851 0.8446 Nd
0.7410 0.7410 0.7771 Hg
0.2590 0.2590 0.2229 Hg
```



[2]
First-principles (PBE) data for Sr3Bi3Pd after structural relaxation, as listed in Alexandria.

Computed properties:
symmetry	No. 12
energy of formation from the pure elements	-0.7459	eV per atom

POSCAR file:
```
Sr3Bi3Pd
1.0
0.3527 3.5668 3.1683
-3.5685 -1.3015 5.4740
11.5984 -6.0545 9.1365
Sr Bi Pd
6 6 2
Direct
0.5427 0.3053 0.6092 Sr
0.4573 0.6947 0.3908 Sr
0.2421 0.2789 0.2369 Sr
0.7579 0.7211 0.7631 Sr
0.4287 0.2279 0.9148 Sr
0.5713 0.7721 0.0852 Sr
0.8491 0.7589 0.5429 Bi
0.1509 0.2411 0.4571 Bi
0.1561 0.7680 0.9197 Bi
0.8439 0.2320 0.0803 Bi
0.9487 0.8606 0.2420 Bi
0.0513 0.1394 0.7580 Bi
0.7610 0.0875 0.3905 Pd
0.2390 0.9125 0.6095 Pd
```



[3]
First-principles (PBE) data for Sm4DyGa2 after structural relaxation, as listed in Alexandria.

Computed properties:
symmetry	No. 166
energy of formation from the pure elements	-0.0909	eV per atom

POSCAR file:
```
Sm4DyGa2
1.0
-2.9738 3.9186 -1.0319
-4.6696 -0.7664 -1.6944
-5.9607 0.9495 8.5425
Sm Dy Ga
4 1 2
Direct
0.7021 0.7021 0.8937 Sm
0.8965 0.8965 0.3104 Sm
0.2979 0.2979 0.1063 Sm
0.1035 0.1035 0.6896 Sm
0.5000 0.5000 0.5000 Dy
0.5989 0.5989 0.2033 Ga
0.4011 0.4011 0.7967 Ga
```



[4]
First-principles (PBE) data for Li2PaCuF8 after structural relaxation, as listed in Alexandria.

Computed properties:
symmetry	No. 10
energy	-68.27	eV/f.u.

POSCAR file:
```
Li2PaCuF8
1.0
-0.5476 3.2920 3.4988
-4.6894 0.2481 -1.0846
-1.3542 -5.1859 4.6675
Li Pa Cu F
2 1 1 8
Direct
0.5000 0.5000 0.8129 Li
0.5000 0.5000 0.1871 Li
0.0000 0.0000 0.5000 Pa
0.0000 0.0000 0.0000 Cu
0.2084 0.7709 0.2833 F
0.7098 0.7186 0.0000 F
0.7916 0.2291 0.2833 F
0.7916 0.2291 0.7167 F
0.2902 0.2814 0.0000 F
0.2084 0.7709 0.7167 F
0.6788 0.7048 0.5000 F
0.3212 0.2952 0.5000 F
```



[5]
First-principles (PBE) data for TaMn2Sb after structural relaxation, as listed in Alexandria.

Computed properties:
symmetry	No. 10
energy	-33.29	eV/f.u.

POSCAR file:
```
TaMn2Sb
1.0
-1.2058 -3.9102 1.7156
2.2207 -1.3262 -1.4619
3.3656 0.6358 3.8146
Mn Sb Ta
2 1 1
Direct
0.0000 0.0271 0.9784 Mn
0.0000 0.4729 0.5216 Mn
0.5000 0.2500 0.2500 Sb
0.5000 0.7500 0.7500 Ta
```



[6]
First-principles (PBE) data for LaAs2OsF after structural relaxation, as listed in Alexandria.

Computed properties:
symmetry	No. 123
energy	-30.58	eV/f.u.

POSCAR file:
```
LaAs2OsF
1.0
4.6703 0.0000 0.0000
0.0000 5.7843 0.0000
0.0000 0.0000 4.6703
As F Os La
2 1 1 1
Direct
0.0000 0.0000 0.5000 As
0.5000 0.0000 0.0000 As
0.5000 0.5000 0.5000 F
0.0000 0.0000 0.0000 Os
0.0000 0.5000 0.0000 La
```



[7]
First-principles (PBE) data for KCdGa2 after structural relaxation, as listed in Alexandria.

Computed properties:
symmetry	No. 122
energy of formation from the pure elements	0.0868	eV per atom

POSCAR file:
```
KCdGa2
1.0
-0.0892 -4.2445 2.7208
4.1290 -1.6230 -2.3966
7.7483 1.3937 7.1008
K Ga Cd
2 4 2
Direct
0.5000 0.5000 0.0000 K
0.2500 0.7500 0.5000 K
0.8034 0.1250 0.2500 Ga
0.9466 0.6250 0.2500 Ga
0.3750 0.1966 0.7500 Ga
0.8750 0.0534 0.7500 Ga
0.0000 0.0000 0.0000 Cd
0.7500 0.2500 0.5000 Cd
```



[8]
First-principles (PBE) data for AcSm3Ru after structural relaxation, as listed in Alexandria.

Computed properties:
symmetry	No. 14
distance to the lowest polymorph of the same formula	25	meV/atom
energy of formation from the pure elements	-0.0932	eV per atom

POSCAR file:
```
AcSm3Ru
1.0
-1.4803 -0.6216 -6.5463
-8.2049 -4.7482 2.3062
-3.5949 9.7269 -0.1107
Ac Sm Ru
4 12 4
Direct
0.4260 0.4234 0.3170 Ac
0.5740 0.5766 0.6830 Ac
0.9260 0.5766 0.1830 Ac
0.0740 0.4234 0.8170 Ac
0.0950 0.9520 0.3321 Sm
0.9050 0.0480 0.6679 Sm
0.5950 0.0480 0.1679 Sm
0.4050 0.9520 0.8321 Sm
0.0795 0.1928 0.0796 Sm
0.9205 0.8072 0.9204 Sm
0.5795 0.8072 0.4204 Sm
0.4205 0.1928 0.5796 Sm
0.4211 0.6772 0.0515 Sm
0.5789 0.3228 0.9485 Sm
0.9211 0.3228 0.4485 Sm
0.0789 0.6772 0.5515 Sm
0.7705 0.0780 0.9258 Ru
0.2295 0.9220 0.0742 Ru
0.2705 0.9220 0.5742 Ru
0.7295 0.0780 0.4258 Ru
```



Number 1: D(E_F) 1.3372 states/eV/atom, calculated density 7.8 g/cm3. Number 2: D(E_F) 0.5676 states/eV/atom, calculated density 7.1 g/cm3. Number 3: D(E_F) 1.5383 states/eV/atom, calculated density 6.8 g/cm3. Number 4: D(E_F) 0.4530 states/eV/atom, calculated density 4.6 g/cm3. Number 5: D(E_F) 0.7014 states/eV/atom, calculated density 10.2 g/cm3. Number 6: D(E_F) 0.4959 states/eV/atom, calculated density 6.6 g/cm3. Number 7: D(E_F) 0.4326 states/eV/atom, calculated density 3.8 g/cm3. Number 8: D(E_F) 0.9637 states/eV/atom, calculated density 7.7 g/cm3.